# 1
The following is a DFT calculation (GGA-PBE) of a geometry-optimized InFe2GeI structure.

```
data_InFe2GeI
_symmetry_space_group_name_H-M 'P 1'
_symmetry_Int_Tables_number 1
_cell_length_a 4.7402
_cell_length_b 4.7402
_cell_length_c 5.6949
_cell_angle_alpha 90.00
_cell_angle_beta 90.00
_cell_angle_gamma 90.00
loop_
_symmetry_equiv_pos_as_xyz
'x,y,z'
loop_
_atom_site_label
_atom_site_type_symbol
_atom_site_fract_x
_atom_site_fract_y
_atom_site_fract_z
In1 In 0.0000 0.0000 0.0000
Fe1 Fe 0.0000 0.5000 0.5000
Fe2 Fe 0.5000 0.0000 0.5000
Ge1 Ge 0.5000 0.5000 0.0000
I1 I 0.5000 0.5000 0.5000
```

Computed properties:
The value obtained for the total energy is -19.28 eV/cell. Its space group is P4/mmm, No. 123. Its spin magnetization is 4.9 μB/cell.


# 2
The following is a DFT calculation (GGA-PBE) of a geometry-optimized B5C7 structure.

```
data_B5C7
_symmetry_space_group_name_H-M 'P 1'
_symmetry_Int_Tables_number 1
_cell_length_a 4.4624
_cell_length_b 4.4624
_cell_length_c 8.2052
_cell_angle_alpha 117.51
_cell_angle_beta 117.51
_cell_angle_gamma 32.96
loop_
_symmetry_equiv_pos_as_xyz
'x,y,z'
loop_
_atom_site_label
_atom_site_type_symbol
_atom_site_fract_x
_atom_site_fract_y
_atom_site_fract_z
B1 B 0.0000 0.0000 0.0000
B2 B 0.0137 0.0137 0.5258
B3 B 0.6709 0.6709 0.3647
B4 B 0.7013 0.7013 0.8420
B5 B 0.8327 0.8327 0.0853
C1 C 0.1591 0.1591 0.2202
C2 C 0.1952 0.1952 0.7134
C3 C 0.3289 0.3289 0.2043
C4 C 0.3574 0.3574 0.6807
C5 C 0.4934 0.4934 0.3846
C6 C 0.5230 0.5230 0.8823
C7 C 0.8451 0.8451 0.5662
```

Computed properties:
The value obtained for the total energy is -93.38 eV/cell. Its space group is Cm, No. 8. Its formation energy from the elements is 0.381 eV/atom. Its spin magnetization is 0.0 μB/cell. As for the energy above the most stable polymorph in this dataset: 123.4 meV/atom.


# 3
The following is a DFT calculation (GGA-PBE) of a geometry-optimized KCaYCl6 structure.

```
data_KCaYCl6
_symmetry_space_group_name_H-M 'P 1'
_symmetry_Int_Tables_number 1
_cell_length_a 7.1131
_cell_length_b 7.1131
_cell_length_c 13.5320
_cell_angle_alpha 90.00
_cell_angle_beta 90.00
_cell_angle_gamma 120.00
loop_
_symmetry_equiv_pos_as_xyz
'x,y,z'
loop_
_atom_site_label
_atom_site_type_symbol
_atom_site_fract_x
_atom_site_fract_y
_atom_site_fract_z
K1 K 0.0000 0.0000 0.0000
K2 K 0.0000 0.0000 0.5000
Ca1 Ca 0.3333 0.6667 0.2500
Ca2 Ca 0.6667 0.3333 0.7500
Y1 Y 0.3333 0.6667 0.7500
Y2 Y 0.6667 0.3333 0.2500
Cl1 Cl 0.0103 0.3746 0.6387
Cl2 Cl 0.0103 0.6357 0.8613
Cl3 Cl 0.3643 0.3746 0.8613
Cl4 Cl 0.3643 0.9897 0.6387
Cl5 Cl 0.3746 0.0103 0.1387
Cl6 Cl 0.3746 0.3643 0.3613
Cl7 Cl 0.6254 0.6357 0.6387
Cl8 Cl 0.6254 0.9897 0.8613
Cl9 Cl 0.6357 0.0103 0.3613
Cl10 Cl 0.6357 0.6254 0.1387
Cl11 Cl 0.9897 0.3643 0.1387
Cl12 Cl 0.9897 0.6254 0.3613
```

Computed properties:
The value obtained for the total energy is -82.46 eV/cell. Its space group is P-31c, No. 163. Its spin magnetization is 0.0 μB/cell.


# 4
The following is a DFT calculation (GGA-PBE) of a geometry-optimized Tm6Sn3N structure.

```
data_Tm6Sn3N
_symmetry_space_group_name_H-M 'P 1'
_symmetry_Int_Tables_number 1
_cell_length_a 9.1597
_cell_length_b 9.1597
_cell_length_c 7.0645
_cell_angle_alpha 90.00
_cell_angle_beta 90.00
_cell_angle_gamma 102.94
loop_
_symmetry_equiv_pos_as_xyz
'x,y,z'
loop_
_atom_site_label
_atom_site_type_symbol
_atom_site_fract_x
_atom_site_fract_y
_atom_site_fract_z
Tm1 Tm 0.0557 0.9443 0.5000
Tm2 Tm 0.1075 0.5861 0.4630
Tm3 Tm 0.2298 0.7702 0.9072
Tm4 Tm 0.3129 0.3625 0.9271
Tm5 Tm 0.3625 0.3129 0.4271
Tm6 Tm 0.4139 0.8925 0.4630
Tm7 Tm 0.5861 0.1075 0.9630
Tm8 Tm 0.6375 0.6871 0.9271
Tm9 Tm 0.6871 0.6375 0.4271
Tm10 Tm 0.7702 0.2298 0.4072
Tm11 Tm 0.8925 0.4139 0.9630
Tm12 Tm 0.9443 0.0557 0.0000
Sn1 Sn 0.0618 0.2765 0.6536
Sn2 Sn 0.2765 0.0618 0.1536
Sn3 Sn 0.3859 0.6141 0.2152
Sn4 Sn 0.6141 0.3859 0.7152
Sn5 Sn 0.7235 0.9382 0.6536
Sn6 Sn 0.9382 0.7235 0.1536
N1 N 0.1999 0.8001 0.6061
N2 N 0.8001 0.1999 0.1061
```

Computed properties:
The value obtained for the total energy is -107.24 eV/cell. Its space group is Cmc2_1, No. 36. Its spin magnetization is 0.0 μB/cell.


# 5
The following is a DFT calculation (GGA-PBE) of a geometry-optimized YNi2W structure.

```
data_YNi2W
_symmetry_space_group_name_H-M 'P 1'
_symmetry_Int_Tables_number 1
_cell_length_a 3.0170
_cell_length_b 3.0170
_cell_length_c 25.1603
_cell_angle_alpha 90.00
_cell_angle_beta 90.00
_cell_angle_gamma 120.00
loop_
_symmetry_equiv_pos_as_xyz
'x,y,z'
loop_
_atom_site_label
_atom_site_type_symbol
_atom_site_fract_x
_atom_site_fract_y
_atom_site_fract_z
Y1 Y 0.0000 0.0000 0.0000
Y2 Y 0.3333 0.6667 0.6667
Y3 Y 0.6667 0.3333 0.3333
Ni1 Ni 0.0000 0.0000 0.4924
Ni2 Ni 0.0000 0.0000 0.7541
Ni3 Ni 0.3333 0.6667 0.1591
Ni4 Ni 0.3333 0.6667 0.4207
Ni5 Ni 0.6667 0.3333 0.0874
Ni6 Ni 0.6667 0.3333 0.8257
W1 W 0.0000 0.0000 0.2318
W2 W 0.3333 0.6667 0.8985
W3 W 0.6667 0.3333 0.5652
```

Computed properties:
The value obtained for the total energy is -86.79 eV/cell. Its space group is R3m, No. 160. Its formation energy from the elements is 0.513 eV/atom. Its spin magnetization is 0.0 μB/cell. As for the energy above the most stable polymorph in this dataset: 581.7 meV/atom.


# 6
The following is a DFT calculation (GGA-PBE) of a geometry-optimized TbY10Er4 structure.

```
data_TbY10Er4
_symmetry_space_group_name_H-M 'P 1'
_symmetry_Int_Tables_number 1
_cell_length_a 9.3994
_cell_length_b 9.3994
_cell_length_c 9.3994
_cell_angle_alpha 99.59
_cell_angle_beta 99.59
_cell_angle_gamma 131.83
loop_
_symmetry_equiv_pos_as_xyz
'x,y,z'
loop_
_atom_site_label
_atom_site_type_symbol
_atom_site_fract_x
_atom_site_fract_y
_atom_site_fract_z
Tb1 Tb 0.0000 0.0000 0.0000
Y1 Y 0.0499 0.1506 0.6996
Y2 Y 0.1506 0.4511 0.1008
Y3 Y 0.2500 0.7500 0.5000
Y4 Y 0.3503 0.0499 0.8992
Y5 Y 0.4511 0.3503 0.3004
Y6 Y 0.5489 0.6497 0.6996
Y7 Y 0.6497 0.9501 0.1008
Y8 Y 0.7500 0.2500 0.5000
Y9 Y 0.8494 0.5489 0.8992
Y10 Y 0.9501 0.8494 0.3004
Er1 Er 0.2001 0.6002 0.8003
Er2 Er 0.3998 0.2001 0.5999
Er3 Er 0.6002 0.7999 0.4001
Er4 Er 0.7999 0.3998 0.1997
```

Computed properties:
The value obtained for the total energy is -76.57 eV/cell. Its space group is I4/m, No. 87. Its formation energy from the elements is 0.730 eV/atom. Its spin magnetization is 0.0 μB/cell.


# 7
The following is a DFT calculation (GGA-PBE) of a geometry-optimized Ac2SnSb structure.

```
data_Ac2SnSb
_symmetry_space_group_name_H-M 'P 1'
_symmetry_Int_Tables_number 1
_cell_length_a 4.6902
_cell_length_b 4.6902
_cell_length_c 24.7627
_cell_angle_alpha 90.00
_cell_angle_beta 90.00
_cell_angle_gamma 120.00
loop_
_symmetry_equiv_pos_as_xyz
'x,y,z'
loop_
_atom_site_label
_atom_site_type_symbol
_atom_site_fract_x
_atom_site_fract_y
_atom_site_fract_z
Ac1 Ac 0.0000 0.0000 0.2474
Ac2 Ac 0.0000 0.0000 0.7526
Ac3 Ac 0.3333 0.6667 0.4192
Ac4 Ac 0.3333 0.6667 0.9141
Ac5 Ac 0.6667 0.3333 0.0859
Ac6 Ac 0.6667 0.3333 0.5808
Sn1 Sn 0.0000 0.0000 0.0000
Sn2 Sn 0.3333 0.6667 0.6667
Sn3 Sn 0.6667 0.3333 0.3333
Sb1 Sb 0.0000 0.0000 0.5000
Sb2 Sb 0.3333 0.6667 0.1667
Sb3 Sb 0.6667 0.3333 0.8333
```

Computed properties:
The value obtained for the total energy is -59.28 eV/cell. Its space group is R-3m, No. 166. Its spin magnetization is 0.0 μB/cell. As for the energy above the most stable polymorph in this dataset: 96.1 meV/atom.


# 8
The following is a DFT calculation (GGA-PBE) of a geometry-optimized NdGdAgBr structure.

```
data_NdGdAgBr
_symmetry_space_group_name_H-M 'P 1'
_symmetry_Int_Tables_number 1
_cell_length_a 7.4994
_cell_length_b 7.4994
_cell_length_c 7.4994
_cell_angle_alpha 90.00
_cell_angle_beta 90.00
_cell_angle_gamma 90.00
loop_
_symmetry_equiv_pos_as_xyz
'x,y,z'
loop_
_atom_site_label
_atom_site_type_symbol
_atom_site_fract_x
_atom_site_fract_y
_atom_site_fract_z
Nd1 Nd 0.0000 0.0000 0.0000
Nd2 Nd 0.0000 0.5000 0.5000
Nd3 Nd 0.5000 0.0000 0.5000
Nd4 Nd 0.5000 0.5000 0.0000
Gd1 Gd 0.0000 0.0000 0.5000
Gd2 Gd 0.0000 0.5000 0.0000
Gd3 Gd 0.5000 0.0000 0.0000
Gd4 Gd 0.5000 0.5000 0.5000
Ag1 Ag 0.2500 0.2500 0.7500
Ag2 Ag 0.2500 0.7500 0.2500
Ag3 Ag 0.7500 0.2500 0.2500
Ag4 Ag 0.7500 0.7500 0.7500
Br1 Br 0.2500 0.2500 0.2500
Br2 Br 0.2500 0.7500 0.7500
Br3 Br 0.7500 0.2500 0.7500
Br4 Br 0.7500 0.7500 0.2500
```

Computed properties:
The value obtained for the total energy is -101.29 eV/cell. Its space group is F-43m, No. 216. Its spin magnetization is 32.8 μB/cell.